# 1
Tl4SeI2 after structural relaxation, computed with PBE.

The structure in POSCAR format:
```
Tl4SeI2
1.0
6.168 0.000 0.000
0.000 6.168 0.000
0.000 0.000 17.852
Tl Se I
8 2 4
direct
0.000 0.000 0.165 Tl
0.000 0.000 0.835 Tl
0.000 0.500 0.000 Tl
0.000 0.500 0.500 Tl
0.500 0.000 0.000 Tl
0.500 0.000 0.500 Tl
0.500 0.500 0.335 Tl
0.500 0.500 0.665 Tl
0.000 0.000 0.000 Se
0.500 0.500 0.500 Se
0.000 0.000 0.373 I
0.000 0.000 0.627 I
0.500 0.500 0.127 I
0.500 0.500 0.873 I
```

## Properties
calculated density = 5.6 g/cm3
total moment = 0.00 μB per cell
space-group type = I4/mmm (139)
uncorrected energy = -2.671 eV per atom
N(E_F) = 2.41 states/eV/cell
relative energy among the computed polymorphs = 1.01 eV/f.u.
crystal system = tetragonal

# 2
BaCr2Re after structural relaxation, computed with PBE.

The structure in POSCAR format:
```
BaCr2Re
1.0
3.122 0.000 0.000
0.000 3.962 0.000
0.000 0.000 14.188
Ba Cr Re
2 4 2
direct
0.000 0.000 0.000 Ba
0.500 0.500 0.500 Ba
0.000 0.000 0.335 Cr
0.000 0.500 0.712 Cr
0.500 0.000 0.212 Cr
0.500 0.500 0.835 Cr
0.000 0.500 0.217 Re
0.500 0.000 0.717 Re
```

## Properties
energy relative to the elements = 0.955 eV/atom
calculated density = 8.1 g/cm3
total moment = 4.86 μB per cell
space-group type = Imm2 (44)
uncorrected energy = -7.449 eV per atom
N(E_F) = 9.12 states/eV/cell
relative energy among the computed polymorphs = 1.06 eV/f.u.
crystal system = orthorhombic

# 3
Ce2Cu2BRh4 after structural relaxation, computed with PBE.

The structure in POSCAR format:
```
Ce2Cu2BRh4
1.0
-2.991 2.991 3.933
2.991 -2.991 3.933
2.991 2.991 -3.933
Ce Cu B Rh
2 2 1 4
direct
0.250 0.750 0.500 Ce
0.750 0.250 0.500 Ce
0.229 0.229 0.000 Cu
0.771 0.771 0.000 Cu
0.500 0.500 0.000 B
0.248 0.248 0.495 Rh
0.248 0.752 0.000 Rh
0.752 0.248 0.000 Rh
0.752 0.752 0.505 Rh
```

## Properties
energy relative to the elements = -0.604 eV/atom
calculated density = 9.8 g/cm3
total moment = 0.56 μB per cell
space-group type = I4/mmm (139)
uncorrected energy = -6.842 eV per atom
N(E_F) = 8.50 states/eV/cell
crystal system = tetragonal

What is the calculated density in the third record?
9.8 g/cm3